[1]
12
Lattice="3.4268 0.0000 0.0000 1.7134 8.9216 0.0645 1.7134 2.1835 12.3924" Properties=species:S:1:pos:R:3 comment="GGA-PBE Tb2CeHo3, optimized geometry" de_polymorph_mev_per_atom=0 sg="C2/m (12)" crystal_system=monoclinic final_energy_ev_per_atom=-4.6673 e_form_mev_per_atom=154 pbc="T T T"
Ho 1.7134 2.8793 9.8008
Ho 5.1403 8.2259 2.6562
Tb 1.7134 4.9357 1.5160
Ce 3.4268 5.4376 4.8406
Tb 3.4268 2.5149 6.6514
Ho 5.1403 8.7776 8.8171
Ho 1.7134 1.5956 0.3614
Ce 3.4268 5.6675 7.6163
Ho 1.7134 2.3275 3.6399
Ho 5.1403 9.5096 12.0956
Tb 3.4268 8.5903 5.8056
Tb 5.1403 6.1694 10.9410

---

[2]
8
Lattice="-2.3485 -0.7454 2.3450 -2.2866 -0.5363 -2.4605 3.6984 -13.3263 -0.5323" Properties=species:S:1:pos:R:3 comment="GGA-PBE Tm4RuPt3, optimized geometry" sg="P4/mmm (123)" crystal_system=tetragonal final_energy_ev_per_atom=-6.7701 e_form_mev_per_atom=-1110 pbc="T T T"
Pt 0.4669 -10.6741 -0.4585
Tm 1.3770 -4.9615 -0.1982
Tm 2.3215 -8.3648 -0.3341
Tm 3.2585 -11.7413 -0.4689
Pt -0.4684 -7.3040 -0.3239
Pt -1.4037 -3.9339 -0.1893
Tm 0.4399 -1.5850 -0.0633
Ru -2.3176 -0.6409 -0.0578

---

[3]
8
Lattice="8.1776 0.0000 0.0000 0.0000 8.1776 0.0000 0.0000 0.0000 8.1776" Properties=species:S:1:pos:R:3 comment="GGA-PBE KSr, optimized geometry" sg="Fm-3m (225)" crystal_system=cubic final_energy_ev_per_atom=-0.9951 e_form_mev_per_atom=395 pbc="T T T"
Sr 0.0000 4.0888 0.0000
K 4.0888 4.0888 0.0000
Sr 4.0888 4.0888 4.0888
Sr 0.0000 0.0000 4.0888
K 0.0000 4.0888 4.0888
K 0.0000 0.0000 0.0000
Sr 4.0888 0.0000 0.0000
K 4.0888 0.0000 4.0888

---

[4]
12
Lattice="-0.6279 -6.9306 -1.3885 6.3123 2.7031 1.7900 -3.2021 0.2609 6.2010" Properties=species:S:1:pos:R:3 comment="GGA-PBE Li3NdU2Se6, optimized geometry" sg="C2/m (12)" crystal_system=monoclinic final_energy_ev_per_atom=-5.8292 formation_energy_uncorrected_ev_per_fu=-16.0 pbc="T T T"
Li -1.0808 -5.2066 2.2378
Se 3.4022 -3.0853 1.9225
Se -0.9199 -0.8814 4.6800
Se 1.8192 0.6266 2.2533
U 1.6874 -3.7168 -0.3282
Li 1.2412 -1.9833 3.3012
Li 3.5632 1.2399 4.3647
Se 0.6631 -4.5932 4.3492
Se -0.5534 -2.6668 1.1667
U 3.9970 -0.5107 0.7296
Nd 0.0000 0.0000 0.0000
Se 3.0357 -1.2998 5.4358